Density functional theory data (PBE) for a relaxed CsAlRh3 crystal.

* offset from the most stable computed form: 7.04 eV/f.u.
* ΔE_f: 2036 meV/atom

a = 4.955 Å, b = 4.955 Å, c = 4.955 Å
α = 90.00°, β = 90.00°, γ = 90.00°
Space group Pm-3m (No. 221)
Unique sites:
Cs 0.000 0.000 0.000 (multiplicity 1)
Al 0.500 0.500 0.500 (multiplicity 1)
Rh 0.000 0.000 0.500 (multiplicity 3)

---

Density functional theory data (PBE) for a relaxed Nd2Sm3HoSe6 crystal.

* raw formation energy: -174.4 kJ/mol of atoms

a = 18.163 Å, b = 4.157 Å, c = 8.393 Å
α = 90.00°, β = 103.07°, γ = 90.00°
Space group C2/m (No. 12)
Unique sites:
Nd 0.168 0.000 0.336 (multiplicity 4)
Sm 0.000 0.500 0.500 (multiplicity 2)
Sm 0.171 0.000 0.833 (multiplicity 4)
Ho 0.000 0.500 0.000 (multiplicity 2)
Se 0.002 0.000 0.759 (multiplicity 4)
Se 0.162 0.500 0.077 (multiplicity 4)
Se 0.165 0.500 0.586 (multiplicity 4)

---

Density functional theory data (PBE) for a relaxed Ba2PaAu2O6 crystal.

* raw formation energy: -199.1 kJ/mol of atoms

a = 11.592 Å, b = 5.937 Å, c = 6.959 Å
α = 90.00°, β = 123.04°, γ = 90.00°
Space group C2/m (No. 12)
Unique sites:
Ba 0.218 0.000 0.174 (multiplicity 4)
Pa 0.000 0.000 0.500 (multiplicity 2)
Au 0.078 0.500 0.265 (multiplicity 4)
O 0.075 0.244 0.780 (multiplicity 8)
O 0.212 0.000 0.583 (multiplicity 4)

---

Density functional theory data (PBE) for a relaxed ZrBe2Al2 crystal.

* offset from the most stable computed form: 0.00 eV/f.u.
* ΔE_f: -104 meV/atom

a = 3.832 Å, b = 3.832 Å, c = 9.968 Å
α = 90.00°, β = 90.00°, γ = 90.00°
Space group I4/mmm (No. 139)
Unique sites:
Zr 0.000 0.000 0.000 (multiplicity 2)
Be 0.000 0.500 0.250 (multiplicity 4)
Al 0.000 0.000 0.379 (multiplicity 4)

---

| no. | V (Å³ per atom) |
| --- | --- |
| 1 | 24.33 |
| 2 | 25.72 |
| 3 | 18.25 |
| 4 | 14.63 |